An optimized crystal structure of RhSN2F. Source: Alexandria, functional GGA-PBE.

Calculated values
uncorrected formation energy = 1.115 eV per atom
calculated total energy = -4.885 eV per atom
ΔE to the lowest computed polymorph = 0.0276 eV/atom

a = 3.7269 Å, b = 3.7269 Å, c = 5.1204 Å
α = 90.00°, β = 90.00°, γ = 90.00°
Last column: nearest neighbours and their distance in Å.
Element x y z (fractional)
Rh1 0.0000 0.0000 0.0000  4 N 1.86
S1 0.0000 0.0000 0.5000  2 Rh 2.56, 4 F 2.64
N1 0.0000 0.5000 0.0000  2 Rh 1.86
N2 0.5000 0.0000 0.0000  2 Rh 1.86
F1 0.5000 0.5000 0.5000  4 S 2.64